{"formula": "FeC5", "functional": "PBE", "state": "optimized geometry", "lattice": [[2.601, 0.000, 0.000], [0.000, 1.693, 7.075], [0.000, -1.693, 7.075]], "species": ["Fe", "C", "C", "C", "C", "C"], "fractional_positions": [[0.000, 0.000, 0.000], [0.000, 0.386, 0.386], [0.000, 0.567, 0.567], [0.500, 0.103, 0.103], [0.500, 0.382, 0.382], [0.500, 0.617, 0.617]], "polymorph_energy_mev_per_atom": 623, "sg": "Amm2 (38)"}